1.
A plane-wave DFT calculation with GGA-PBEsol was carried out for crystalline WS2F at its relaxed geometry.

Cell and atoms, written as POSCAR:
```
WS2F
1.0
5.7928 0.0000 0.0000
-2.8964 5.5040 -0.0419
0.0000 3.0858 4.9026
S W F
4 2 2
direct
0.3750 0.2500 0.0882
0.0882 0.7500 0.8750
0.8750 0.2500 0.6618
0.6618 0.7500 0.3750
0.0000 0.0000 0.0000
0.7500 0.5000 0.7500
0.2500 0.5000 0.2500
0.5000 0.0000 0.5000
```

Properties
Space group = I-42d
VASP energy = -6.42 eV per atom
Theoretical density = 5.6 g cm⁻³

=====

2.
A plane-wave DFT calculation with GGA-PBEsol was carried out for crystalline LaZn2Se at its relaxed geometry.

Cell and atoms, written as POSCAR:
```
LaZn2Se
1.0
-2.4832 -1.8225 -2.0170
2.6823 -2.0864 -1.4172
-0.7671 -4.2138 4.7518
La Zn Se
1 2 1
direct
0.0000 0.0000 0.5211
0.5000 0.5000 0.1736
0.0000 0.0000 0.0496
0.5000 0.5000 0.7557
```

Properties
Space group = P4mm
VASP energy = -3.70 eV per atom
Theoretical density = 6.7 g cm⁻³

=====

3.
A plane-wave DFT calculation with GGA-PBEsol was carried out for crystalline K2TaSb at its relaxed geometry.

Cell and atoms, written as POSCAR:
```
K2TaSb
1.0
-1.9083 0.1750 -2.2915
-0.8915 -6.3354 0.2586
-4.8449 0.8491 4.0994
K Ta Sb
2 1 1
direct
0.0000 0.5000 0.0000
0.0000 0.0000 0.5000
0.5000 0.0000 0.0000
0.5000 0.5000 0.5000
```

Properties
Space group = P4/mmm
VASP energy = -3.69 eV per atom
Theoretical density = 5.2 g cm⁻³